## A
{
  "formula": "MgSiAu3",
  "functional": "PBE-GGA",
  "state": "relaxed",
  "lattice_angstrom": [[4.883, 0.000, 0.000], [0.000, 4.883, 0.000], [0.000, 0.000, 4.883]],
  "species": ["Si", "Au", "Au", "Au", "Mg"],
  "fractional_positions": [[0.500, 0.500, 0.500], [0.000, 0.500, 0.000], [0.000, 0.000, 0.500], [0.500, 0.000, 0.000], [0.000, 0.000, 0.000]],
  "rho_g_cm3": 9.17,
  "n_ef_per_ev_atom": 0.40
}

## B
{
  "formula": "MgSiAu3",
  "functional": "PBE-GGA",
  "state": "relaxed",
  "lattice_angstrom": [[5.936, 0.000, 0.000], [0.000, 6.931, -2.859], [0.000, -1.191, 9.407]],
  "species": ["Mg", "Mg", "Mg", "Mg", "Si", "Si", "Si", "Si", "Au", "Au", "Au", "Au", "Au", "Au", "Au", "Au", "Au", "Au", "Au", "Au"],
  "fractional_positions": [[0.798, 0.683, 0.185], [0.202, 0.317, 0.815], [0.298, 0.317, 0.315], [0.702, 0.683, 0.685], [0.079, 0.842, 0.519], [0.921, 0.158, 0.481], [0.579, 0.158, 0.981], [0.421, 0.842, 0.019], [0.208, 0.907, 0.279], [0.792, 0.093, 0.721], [0.708, 0.093, 0.221], [0.292, 0.907, 0.779], [0.491, 0.764, 0.460], [0.509, 0.236, 0.540], [0.991, 0.236, 0.040], [0.009, 0.764, 0.960], [0.120, 0.488, 0.628], [0.880, 0.512, 0.372], [0.620, 0.512, 0.872], [0.380, 0.488, 0.128]],
  "rho_g_cm3": 11.65,
  "n_ef_per_ev_atom": 0.23
}

B ends up most stable, edging out the next structure by 91.3 kJ/mol of atoms.

## A
{
  "formula": "TbSmMgAu",
  "functional": "PBE-GGA",
  "state": "relaxed",
  "lattice_angstrom": [[3.741, 0.000, 0.000], [0.000, 3.741, 0.000], [0.000, 0.000, 7.361]],
  "species": ["Tb", "Sm", "Mg", "Au"],
  "fractional_positions": [[0.000, 0.000, 0.340], [0.000, 0.000, 0.869], [0.500, 0.500, 0.600], [0.500, 0.500, 0.118]],
  "rho_g_cm3": 8.55,
  "n_ef_per_ev_atom": 0.88
}

## B
{
  "formula": "TbSmMgAu",
  "functional": "PBE-GGA",
  "state": "relaxed",
  "lattice_angstrom": [[5.256, 0.000, 0.000], [2.628, 4.552, 0.000], [2.628, 1.517, 4.291]],
  "species": ["Tb", "Mg", "Au", "Sm"],
  "fractional_positions": [[0.250, 0.250, 0.250], [0.500, 0.500, 0.500], [0.000, 0.000, 0.000], [0.750, 0.750, 0.750]],
  "rho_g_cm3": 8.58,
  "n_ef_per_ev_atom": 0.69
}

A ends up most stable, edging out the next structure by 6.3 kJ/mol of atoms.

## A
{
  "formula": "Mg2SnAu6",
  "functional": "PBE-GGA",
  "state": "relaxed",
  "lattice_angstrom": [[-1.674, 0.902, -4.602], [0.806, -8.478, -1.973], [-7.665, 2.623, 3.285]],
  "species": ["Mg", "Mg", "Mg", "Mg", "Sn", "Sn", "Au", "Au", "Au", "Au", "Au", "Au", "Au", "Au", "Au", "Au", "Au", "Au"],
  "fractional_positions": [[0.500, 0.665, 0.834], [0.000, 0.166, 0.335], [0.500, 0.335, 0.166], [0.000, 0.834, 0.665], [0.250, 0.250, 0.750], [0.750, 0.750, 0.250], [0.495, 0.668, 0.512], [0.005, 0.488, 0.332], [0.505, 0.332, 0.488], [0.995, 0.512, 0.668], [0.245, 0.917, 0.417], [0.255, 0.583, 0.083], [0.755, 0.083, 0.583], [0.745, 0.417, 0.917], [0.005, 0.832, 0.988], [0.495, 0.012, 0.168], [0.995, 0.168, 0.012], [0.505, 0.988, 0.832]],
  "rho_g_cm3": 13.23,
  "n_ef_per_ev_atom": 0.25
}

## B
{
  "formula": "Mg2SnAu6",
  "functional": "PBE-GGA",
  "state": "relaxed",
  "lattice_angstrom": [[4.323, 0.000, 0.000], [2.162, 4.552, 0.192], [2.162, 2.027, 8.613]],
  "species": ["Mg", "Mg", "Sn", "Au", "Au", "Au", "Au", "Au", "Au"],
  "fractional_positions": [[0.315, 0.628, 0.743], [0.685, 0.372, 0.257], [0.000, 0.500, 0.500], [0.664, 0.731, 0.940], [0.336, 0.269, 0.060], [0.011, 0.813, 0.166], [0.340, 0.929, 0.391], [0.989, 0.187, 0.834], [0.660, 0.071, 0.609]],
  "rho_g_cm3": 13.35,
  "n_ef_per_ev_atom": 0.35
}

A ends up most stable, edging out the next structure by 1.7 kJ/mol of atoms.